## CeAl4Si2Ir (PBEsol)

Data for a relaxed CeAl4Si2Ir crystal.

abc: 4.2191 4.2191 7.8767
angles: 90.00 90.00 90.00
With the nearest neighbours (Å) after each atom.
Atoms (fractional coordinates):
Si  0.5000  0.5000  0.6427  1 Si 2.25
Si  0.5000  0.5000  0.3573  1 Si 2.25
Ir  0.0000  0.0000  0.0000  8 Al 2.50
Al  0.0000  0.5000  0.8293  2 Ir 2.50, 2 Si 2.57, 1 Al 2.69
Al  0.5000  0.0000  0.8293  2 Ir 2.50, 2 Si 2.57, 1 Al 2.69
Al  0.0000  0.5000  0.1707  2 Ir 2.50, 2 Si 2.57, 1 Al 2.69
Al  0.5000  0.0000  0.1707  2 Ir 2.50, 2 Si 2.57, 1 Al 2.69
Ce  0.0000  0.0000  0.5000  8 Si 3.19, 8 Al 3.34

Calculated values
Its density of states at the Fermi level is 4.48 states/eV per cell. The value obtained for the total moment is 0.344 μB per formula unit. The value obtained for the formation energy without anion corrections is -0.6295 eV per atom. The density comes out at 5.9 g cm⁻³.



## Li2CeAl (PBEsol)

Data for a relaxed Li2CeAl crystal.

abc: 4.7726 4.7726 4.7726
angles: 60.00 60.00 60.00
With the nearest neighbours (Å) after each atom.
Atoms (fractional coordinates):
Al  0.5000  0.5000  0.5000  8 Li 2.92
Ce  0.0000  0.0000  0.0000  8 Li 2.92
Li  0.2500  0.2500  0.2500  4 Ce 2.92, 4 Al 2.92
Li  0.7500  0.7500  0.7500  4 Ce 2.92, 4 Al 2.92

Calculated values
Its density of states at the Fermi level is 6.18 states/eV per cell. The value obtained for the total moment is 0.809 μB per formula unit. Its raw total energy is -3.671 eV per atom. The density comes out at 3.9 g cm⁻³.



## Ce2MgAl (PBEsol)

Data for a relaxed Ce2MgAl crystal.

abc: 5.1905 5.1905 5.1905
angles: 60.00 60.00 60.00
With the nearest neighbours (Å) after each atom.
Atoms (fractional coordinates):
Mg  0.5000  0.5000  0.5000  8 Ce 3.18
Al  0.0000  0.0000  0.0000  8 Ce 3.18
Ce  0.2500  0.2500  0.2500  4 Mg 3.18, 4 Al 3.18
Ce  0.7500  0.7500  0.7500  4 Mg 3.18, 4 Al 3.18

Calculated values
Its density of states at the Fermi level is 10.64 states/eV per cell. The value obtained for the total moment is 1.069 μB per formula unit. Its raw total energy is -4.767 eV per atom. The density comes out at 5.6 g cm⁻³.



## Ce2Mn7Al10 (PBEsol)

Data for a relaxed Ce2Mn7Al10 crystal.

abc: 6.6965 6.6965 6.6997
angles: 82.94 82.94 83.48
With the nearest neighbours (Å) after each atom.
Atoms (fractional coordinates):
Ce  0.3445  0.3445  0.3416  9 Al 3.02-3.19, 4 Mn 3.18-3.27
Ce  0.6492  0.6492  0.6409  11 Al 3.10-3.41, 4 Mn 3.17-3.21
Mn  0.0055  0.4924  0.0038  3 Mn 2.49-2.61, 7 Al 2.52-2.69
Mn  0.0036  0.0036  0.4954  2 Mn 2.50, 8 Al 2.54-2.74
Mn  0.4924  0.0055  0.0038  3 Mn 2.49-2.61, 7 Al 2.52-2.69
Mn  0.6596  0.6596  0.1591  5 Al 2.60-2.61, 4 Mn 2.61-2.64
Mn  0.8575  0.3380  0.3391  3 Mn 2.49-2.64, 6 Al 2.61-2.70
Mn  0.3380  0.8575  0.3391  3 Mn 2.49-2.64, 6 Al 2.61-2.70
Mn  0.3402  0.3402  0.8551  2 Mn 2.50, 7 Al 2.62-2.67
Al  0.1091  0.1091  0.1082  6 Mn 2.61-2.63, 1 Al 2.88
Al  0.8825  0.8825  0.8935  4 Mn 2.61-2.74, 3 Al 2.73-2.88
Al  0.6984  0.9993  0.2947  5 Mn 2.52-2.68, 3 Al 2.66-2.72
Al  0.3143  0.6916  0.0100  5 Mn 2.53-2.67, 3 Al 2.66-2.77
Al  0.0046  0.2982  0.7004  4 Mn 2.54-2.70, 4 Al 2.62-2.76
Al  0.6916  0.3143  0.0100  5 Mn 2.53-2.67, 3 Al 2.66-2.77
Al  0.9993  0.6984  0.2947  5 Mn 2.52-2.68, 3 Al 2.66-2.72
Al  0.2982  0.0046  0.7004  4 Mn 2.54-2.70, 4 Al 2.62-2.76
Al  0.1564  0.6550  0.6551  4 Mn 2.59-2.62, 5 Al 2.67-2.77
Al  0.6550  0.1564  0.6551  4 Mn 2.59-2.62, 5 Al 2.67-2.77

Calculated values
Its density of states at the Fermi level is 17.69 states/eV per cell. The value obtained for the total moment is 7.437 μB per formula unit. Its raw total energy is -6.688 eV per atom. The density comes out at 5.3 g cm⁻³.



## CeNdAl2O6 (PBEsol)

Data for a relaxed CeNdAl2O6 crystal.

abc: 5.2959 5.2978 5.2978
angles: 89.65 119.95 119.95
With the nearest neighbours (Å) after each atom.
Atoms (fractional coordinates):
Ce  0.5019  0.7519  0.7519  6 O 2.38-2.66
Nd  0.4958  0.2454  0.2454  6 O 2.38-2.65
Al  0.9999  0.5001  0.9996  6 O 1.89-1.90
Al  0.9999  0.9996  0.5001  6 O 1.89-1.90
O  0.0028  0.7833  0.2198  2 Al 1.89-1.90
O  0.0028  0.2198  0.7833  2 Al 1.89-1.90
O  0.5002  0.7809  0.2218  2 Al 1.89
O  0.5002  0.2218  0.7809  2 Al 1.89
O  0.9426  0.6905  0.6905  2 Al 1.89
O  0.0540  0.3067  0.3067  2 Al 1.89

Calculated values
Its density of states at the Fermi level is 8.69 states/eV per cell. The value obtained for the total moment is 1.001 μB per formula unit. The value obtained for the formation energy without anion corrections is -3.2814 eV per atom. The density comes out at 6.8 g cm⁻³.



## CeAl4Ni (PBEsol)

Data for a relaxed CeAl4Ni crystal.

abc: 4.0758 6.5481 7.9776
angles: 90.00 104.80 90.00
With the nearest neighbours (Å) after each atom.
Atoms (fractional coordinates):
Ni  0.7267  0.7500  0.4533  7 Al 2.30-2.48
Ni  0.2733  0.2500  0.5467  7 Al 2.30-2.48
Al  0.1892  0.9475  0.3784  3 Ni 2.37-2.48, 1 Al 2.59
Al  0.8108  0.0525  0.6216  3 Ni 2.37-2.48, 1 Al 2.59
Al  0.8108  0.4475  0.6216  3 Ni 2.37-2.48, 1 Al 2.59
Al  0.1892  0.5525  0.3784  3 Ni 2.37-2.48, 1 Al 2.59
Al  0.0000  0.5000  0.0000  6 Al 2.87-2.94, 4 Ce 3.16
Al  0.0000  0.0000  0.0000  6 Al 2.87-2.94, 4 Ce 3.16
Al  0.5775  0.7500  0.1550  1 Ni 2.30
Al  0.4225  0.2500  0.8450  1 Ni 2.30
Ce  0.6151  0.2500  0.2301  13 Al 2.97-3.32, 2 Ni 3.18
Ce  0.3849  0.7500  0.7699  13 Al 2.97-3.32, 2 Ni 3.18

Calculated values
Its density of states at the Fermi level is 8.63 states/eV per cell. The value obtained for the total moment is 0.007 μB per formula unit. Its raw total energy is -5.374 eV per atom. The density comes out at 4.9 g cm⁻³.



## CeAlNi (PBEsol)

Data for a relaxed CeAlNi crystal.

abc: 4.0216 6.7601 6.7601
angles: 120.00 90.00 90.00
With the nearest neighbours (Å) after each atom.
Atoms (fractional coordinates):
Ni  0.0000  0.6667  0.3333  3 Al 2.66, 6 Ce 2.85
Ni  0.0000  0.3333  0.6667  3 Al 2.66, 6 Ce 2.85
Ni  0.5000  0.0000  0.0000  6 Al 2.56
Al  0.0000  0.7667  0.7667  4 Ni 2.56-2.66, 2 Al 2.73
Al  0.0000  0.2333  0.0000  4 Ni 2.56-2.66, 2 Al 2.73
Al  0.0000  0.0000  0.2333  4 Ni 2.56-2.66, 2 Al 2.73
Ce  0.5000  0.0000  0.5755  5 Ni 2.85-2.87, 2 Al 3.06
Ce  0.5000  0.4245  0.4245  5 Ni 2.85-2.87, 2 Al 3.06
Ce  0.5000  0.5755  0.0000  5 Ni 2.85-2.87, 2 Al 3.06

Calculated values
Its density of states at the Fermi level is 6.86 states/eV per cell. The value obtained for the total moment is 0.000 μB per formula unit. Its raw total energy is -6.144 eV per atom. The density comes out at 7.1 g cm⁻³.



## CeAl2Ni (PBEsol)

Data for a relaxed CeAl2Ni crystal.

abc: 4.0570 5.5568 6.8035
angles: 90.00 90.00 111.41
With the nearest neighbours (Å) after each atom.
Atoms (fractional coordinates):
Ni  0.2168  0.4336  0.7500  6 Al 2.42-2.49
Ni  0.7832  0.5664  0.2500  6 Al 2.42-2.49
Al  0.3378  0.6755  0.0546  3 Ni 2.42-2.49, 1 Al 2.66
Al  0.6622  0.3245  0.9454  3 Ni 2.42-2.49, 1 Al 2.66
Al  0.6622  0.3245  0.5546  3 Ni 2.42-2.49, 1 Al 2.66
Al  0.3378  0.6755  0.4454  3 Ni 2.42-2.49, 1 Al 2.66
Ce  0.9456  0.8911  0.7500  3 Ni 2.81-3.12, 4 Al 3.11
Ce  0.0544  0.1089  0.2500  3 Ni 2.81-3.12, 4 Al 3.11

Calculated values
Its density of states at the Fermi level is 11.39 states/eV per cell. The value obtained for the total moment is 0.543 μB per formula unit. Its raw total energy is -5.730 eV per atom. The density comes out at 5.9 g cm⁻³.